# Ba2NaPdW SCAN single point on PBEsol structure
data_Ba2NaPdW
_space_group_name_H-M_alt 'P 4/m m m'
_space_group_IT_number 123
_space_group_name_Hall '-P 4 2'
_cell_length_a 5.9906
_cell_length_b 5.9906
_cell_length_c 5.0404
_cell_angle_alpha 90.00
_cell_angle_beta 90.00
_cell_angle_gamma 90.00
loop_
_atom_site_label
_atom_site_fract_x
_atom_site_fract_y
_atom_site_fract_z
Ba1 0.0000 0.5000 0.0000
Na1 0.0000 0.0000 0.0000
Pd1 0.5000 0.5000 0.5000
W1 0.0000 0.0000 0.5000
# Raw total energy = -35.5275 eV/atom
# M_tot = 4.30 μB/cell
# D(E_F) = 4.80 states/eV/f.u.
# Formation energy from the elements = 1628 meV/atom